Density functional theory data (GGA+U) for Cs2TlFeO4 after structural relaxation.

```
8
Lattice="6.158 -0.161 -0.247 -2.769 5.502 0.247 -2.769 -1.989 5.136" Properties=species:S:1:pos:R:3 pbc="T T T"
Cs 0.310 3.549 1.346
Cs 0.000 0.000 0.000
Tl 0.310 -0.196 3.790
Fe -2.769 1.757 2.691
O 1.559 1.048 2.495
O -1.748 0.215 3.173
O 3.672 2.310 0.695
O -2.244 3.132 3.909
```

**DFT total energy**: -4.920 eV/atom
**Space group**: No. 82